1.
Below is CsCa2HoI8 after structural relaxation, with properties calculated at the PBE-GGA level.

Geometry as CIF:
```
data_CsCa2HoI8
_chemical_formula_sum 'Cs1 Ca2 Ho1 I8'
_space_group_name_H-M_alt 'P -1'
_space_group_IT_number 2
_cell_length_a 7.3250
_cell_length_b 7.7022
_cell_length_c 9.9601
_cell_angle_alpha 89.93
_cell_angle_beta 89.90
_cell_angle_gamma 88.95
loop_
_space_group_symop_operation_xyz
'x,y,z'
'-x,-y,-z'
loop_
_atom_site_label
_atom_site_fract_x
_atom_site_fract_y
_atom_site_fract_z
_atom_site_occupancy
Cs1 0.0000 0.0000 0.0000 1
Ca1 0.5000 0.5001 0.2500 1
Ho1 0.0000 0.0000 0.5000 1
I1 0.2487 0.8349 0.7055 1
I2 0.2497 0.8360 0.2942 1
I3 0.2520 0.3271 0.5002 1
I4 0.2678 0.3920 0.0005 1
```

## Properties
D(E_F): 0.00 states/eV per atom
Formation energy (no corrections): -1.45 eV per atom
Calculated volume: 561.83 Å³/cell
Magnetic moment: 0.00 μB/cell
Density: 4.12 g cm⁻³

2.
Below is Ca2CuPdI after structural relaxation, with properties calculated at the PBE-GGA level.

Geometry as CIF:
```
data_Ca2CuPdI
_chemical_formula_sum 'Ca2 Cu1 Pd1 I1'
_space_group_name_H-M_alt 'P 4/m m m'
_space_group_IT_number 123
_space_group_name_Hall '-P 4 2'
_cell_length_a 5.6062
_cell_length_b 5.6062
_cell_length_c 4.7792
_cell_angle_alpha 90.00
_cell_angle_beta 90.00
_cell_angle_gamma 90.00
loop_
_atom_site_label
_atom_site_fract_x
_atom_site_fract_y
_atom_site_fract_z
_atom_site_occupancy
Ca1 0.0000 0.5000 0.0000 1
Cu1 0.0000 0.0000 0.5000 1
Pd1 0.0000 0.0000 0.0000 1
I1 0.5000 0.5000 0.5000 1
```

## Properties
D(E_F): 0.42 states/eV per atom
Formation energy (no corrections): -0.42 eV per atom
Calculated volume: 150.21 Å³/cell
Magnetic moment: 0.00 μB/cell
Density: 4.17 g cm⁻³

3.
Below is LiNd2Al3Ga4 after structural relaxation, with properties calculated at the PBE-GGA level.

Geometry as CIF:
```
data_LiNd2Al3Ga4
_chemical_formula_sum 'Li1 Nd2 Al3 Ga4'
_space_group_name_H-M_alt 'P -4 m 2'
_space_group_IT_number 115
_cell_length_a 4.3117
_cell_length_b 4.3117
_cell_length_c 10.7994
_cell_angle_alpha 90.00
_cell_angle_beta 90.00
_cell_angle_gamma 90.00
loop_
_space_group_symop_operation_xyz
'x,y,z'
'y,-x,-z'
'-x,-y,z'
'-y,x,-z'
'-x,y,z'
'-y,-x,-z'
'x,-y,z'
'y,x,-z'
loop_
_atom_site_label
_atom_site_fract_x
_atom_site_fract_y
_atom_site_fract_z
_atom_site_occupancy
Li1 0.0000 0.0000 0.0000 1
Nd1 0.0000 0.5000 0.7439 1
Al1 0.0000 0.5000 0.3636 1
Al2 0.5000 0.5000 0.0000 1
Ga1 0.0000 0.0000 0.5000 1
Ga2 0.0000 0.5000 0.1350 1
Ga3 0.5000 0.5000 0.5000 1
```

## Properties
D(E_F): 0.34 states/eV per atom
Calculated volume: 200.77 Å³/cell
Magnetic moment: 0.00 μB/cell
DFT formation energy: -10.3 kcal/mol of atoms
Density: 5.42 g cm⁻³